Entry 1:
DFT (GGA+U) results for a relaxed structure of K2RbGdV2O8.

abc: 6.066 6.066 7.821
angles: 90.00 90.00 120.00
Fractional coordinates of all 14 atoms:
K  0.333  0.667  0.197
K  0.667  0.333  0.803
Rb  0.000  0.000  0.500
Gd  0.000  0.000  0.000
V  0.333  0.667  0.746
V  0.667  0.333  0.254
O  0.176  0.351  0.825
O  0.176  0.824  0.825
O  0.333  0.667  0.531
O  0.351  0.176  0.175
O  0.649  0.824  0.825
O  0.667  0.333  0.469
O  0.824  0.176  0.175
O  0.824  0.649  0.175

**VASP energy**: -7.4463 eV/atom
**Space-group type**: No. 164
**Total magnetic moment**: 0.4966 μB per atom



Entry 2:
DFT (GGA+U) results for a relaxed structure of KGdSnWO6.

abc: 5.971 5.971 5.971
angles: 60.00 60.00 60.00
Fractional coordinates of all 10 atoms:
K  0.000  0.000  0.000
Gd  0.750  0.750  0.750
Sn  0.500  0.500  0.500
W  0.250  0.250  0.250
O  0.019  0.019  0.481
O  0.019  0.481  0.019
O  0.019  0.481  0.481
O  0.481  0.019  0.019
O  0.481  0.019  0.481
O  0.481  0.481  0.019

**Space-group type**: No. 216
**Total magnetic moment**: 0.6995 μB per atom
**Energy relative to the lowest polymorph listed for this composition**: 9 meV/atom



Entry 3:
DFT (GGA+U) results for a relaxed structure of KGdSnWO6.

abc: 5.978 5.978 8.428
angles: 90.00 90.00 90.00
Fractional coordinates of all 20 atoms:
K  0.000  0.000  0.250
K  0.000  0.000  0.750
Gd  0.000  0.500  0.000
Gd  0.500  0.000  0.500
Sn  0.500  0.500  0.250
Sn  0.500  0.500  0.750
W  0.000  0.500  0.500
W  0.500  0.000  0.000
O  0.000  0.500  0.269
O  0.000  0.500  0.731
O  0.238  0.276  0.500
O  0.238  0.724  0.500
O  0.276  0.238  0.000
O  0.276  0.762  0.000
O  0.500  0.000  0.231
O  0.500  0.000  0.769
O  0.724  0.238  0.000
O  0.724  0.762  0.000
O  0.762  0.276  0.500
O  0.762  0.724  0.500

**Space-group type**: No. 131
**Total magnetic moment**: 0.7011 μB per atom
**Energy relative to the lowest polymorph listed for this composition**: 0 meV/atom



Repeat the second record exactly.
DFT (GGA+U) results for a relaxed structure of KGdSnWO6.

abc: 5.971 5.971 5.971
angles: 60.00 60.00 60.00
Fractional coordinates of all 10 atoms:
K  0.000  0.000  0.000
Gd  0.750  0.750  0.750
Sn  0.500  0.500  0.500
W  0.250  0.250  0.250
O  0.019  0.019  0.481
O  0.019  0.481  0.019
O  0.019  0.481  0.481
O  0.481  0.019  0.019
O  0.481  0.019  0.481
O  0.481  0.481  0.019

**Space-group type**: No. 216
**Total magnetic moment**: 0.6995 μB per atom
**Energy relative to the lowest polymorph listed for this composition**: 9 meV/atom



> total magnetic moment of number 2 (KGdSnWO6)?

0.6995 μB per atom